[1]
DFT (GGA-PBE) results for crystalline Ir2RuSO at its relaxed geometry.

Lattice parameters (Å, degrees): 4.6667 3.2477 4.6667 90.00 90.00 90.00
Sites, in units of the cell vectors:
1 Ru 0.5000 0.5000 0.5000
2 S 0.0000 0.0000 0.0000
3 Ir 0.0000 0.0000 0.5000
4 Ir 0.5000 0.0000 0.0000
5 O 0.0000 0.5000 0.0000

calculated volume: 71 Å³ per cell
uncorrected formation energy: 942 meV/atom
ΔE to the lowest computed polymorph: 0 meV per atom



[2]
DFT (GGA-PBE) results for crystalline NdTmTh14 at its relaxed geometry.

Lattice parameters (Å, degrees): 7.1809 7.1809 11.5990 90.00 90.00 120.07
Sites, in units of the cell vectors:
1 Nd 0.5397 0.4603 0.5000
2 Tm 0.0408 0.9592 0.5000
3 Th 0.2079 0.7921 0.0000
4 Th 0.7081 0.2919 0.0000
5 Th 0.0449 0.4579 0.5000
6 Th 0.2077 0.2911 0.0000
7 Th 0.5421 0.9551 0.5000
8 Th 0.7089 0.7923 0.0000
9 Th 0.3742 0.1239 0.7507
10 Th 0.3742 0.1239 0.2493
11 Th 0.8761 0.6258 0.7507
12 Th 0.8761 0.6258 0.2493
13 Th 0.3745 0.6255 0.7522
14 Th 0.3745 0.6255 0.2478
15 Th 0.8752 0.1248 0.7499
16 Th 0.8752 0.1248 0.2501

energy of formation: 0.037 eV per atom
calculated volume: 518 Å³ per cell



[3]
DFT (GGA-PBE) results for crystalline CsAc2Te3 at its relaxed geometry.

Lattice parameters (Å, degrees): 4.1420 4.1420 13.2770 90.00 90.00 90.00
Sites, in units of the cell vectors:
1 Cs 0.5000 0.5000 0.5000
2 Ac 0.5000 0.5000 0.8372
3 Ac 0.5000 0.5000 0.1628
4 Te 0.0000 0.0000 0.0000
5 Te 0.0000 0.0000 0.7034
6 Te 0.0000 0.0000 0.2966

calculated volume: 228 Å³ per cell
uncorrected formation energy: -1380 meV/atom
ΔE to the lowest computed polymorph: 114 meV per atom



Number 1: theoretical density 12.527 Mg/m³. Number 2: theoretical density 11.426 Mg/m³. Number 3: theoretical density 7.069 Mg/m³.